Entry 1:
The following is a DFT calculation (GGA+U) of SrV2AgO6 after structural relaxation.

Summary:
Total moment ... 2.00 Bohr magnetons per cell
Calculated total energy ... -135.63 eV per cell
Symmetry ... C2/c

a b c (Å): 6.393 7.376 7.376
angles (deg): 97.37 73.75 73.75
Each line ends with the local moment (μB).
Atoms (fractional coordinates):
1 Sr 0.250 0.897 0.103  0.00
2 Sr 0.750 0.103 0.897  0.00
3 V 0.305 0.724 0.579  0.61
4 V 0.195 0.421 0.276  0.61
5 V 0.695 0.276 0.421  0.61
6 V 0.805 0.579 0.724  0.61
7 Ag 0.250 0.241 0.759  -0.02
8 Ag 0.750 0.759 0.241  -0.02
9 O 0.175 0.914 0.786  -0.03
10 O 0.325 0.214 0.086  -0.03
11 O 0.825 0.086 0.214  -0.03
12 O 0.675 0.786 0.914  -0.03
13 O 0.379 0.834 0.387  -0.04
14 O 0.121 0.613 0.166  -0.04
15 O 0.621 0.166 0.613  -0.04
16 O 0.879 0.387 0.834  -0.04
17 O 0.049 0.648 0.576  -0.05
18 O 0.451 0.424 0.352  -0.05
19 O 0.951 0.352 0.424  -0.05
20 O 0.549 0.576 0.648  -0.05


Entry 2:
The following is a DFT calculation (GGA+U) of Sr2Ag2WO6 after structural relaxation.

Summary:
Total moment ... 0.00 Bohr magnetons per cell
Calculated total energy ... -66.48 eV per cell
Symmetry ... C2/m

a b c (Å): 6.209 6.209 6.431
angles (deg): 85.64 85.64 120.56
Atoms (fractional coordinates):
1 Sr 0.336 0.664 0.500
2 Sr 0.664 0.336 0.500
3 Ag 0.861 0.139 0.000
4 Ag 0.139 0.861 0.000
5 W 0.000 0.000 0.500
6 O 0.709 0.709 0.655
7 O 0.965 0.238 0.674
8 O 0.291 0.291 0.345
9 O 0.238 0.965 0.674
10 O 0.035 0.762 0.326
11 O 0.762 0.035 0.326